No. 1
Here is crystalline Li2Ga at its relaxed geometry from Alexandria via LeMat-Bulk. Energies are from PBE.

Unit cell a=5.1611 b=5.1611 c=5.1611 alpha=60.00 beta=60.00 gamma=60.00
Fractional coordinates of all 6 atoms:
Ga (0.0000, 0.0000, 0.0000)
Ga (0.2500, 0.2500, 0.2500)
Li (0.1250, 0.6250, 0.6250)
Li (0.6250, 0.1250, 0.6250)
Li (0.6250, 0.6250, 0.6250)
Li (0.6250, 0.6250, 0.1250)

No. 2
Here is crystalline Pr2CdIr at its relaxed geometry from Alexandria via LeMat-Bulk. Energies are from PBE.

Properties
polymorph energy (0 for the lowest one) = 102 meV/atom

Unit cell a=5.2441 b=5.2441 c=5.2441 alpha=60.00 beta=60.00 gamma=60.00
Fractional coordinates of all 4 atoms:
Pr (0.2500, 0.2500, 0.2500)
Pr (0.7500, 0.7500, 0.7500)
Ir (0.0000, 0.0000, 0.0000)
Cd (0.5000, 0.5000, 0.5000)

no.,ΔH_f (0 K) (eV per atom)
1,-0.056
2,-0.384